No. 1
Computed, not measured: a geometry-optimized Li2Ac3Cd9 structure at the PBE-GGA level of DFT.

a = 5.036 Å, b = 9.224 Å, c = 9.224 Å
α = 66.31°, β = 74.16°, γ = 74.16°
Element x y z (fractional)
Cd (0.133, 0.153, 0.581)
Cd (0.867, 0.419, 0.847)
Cd (0.344, 0.300, 0.011)
Cd (0.344, 0.011, 0.300)
Cd (0.000, 0.500, 0.500)
Cd (0.656, 0.700, 0.989)
Cd (0.133, 0.581, 0.153)
Cd (0.867, 0.847, 0.419)
Cd (0.656, 0.989, 0.700)
Li (0.500, 0.682, 0.318)
Li (0.500, 0.318, 0.682)
Ac (0.708, 0.292, 0.292)
Ac (0.000, 0.000, 0.000)
Ac (0.292, 0.708, 0.708)

Calculated values
DFT formation energy: -0.29 eV per atom
Fermi-level density of states: 10.898 states/eV per cell

No. 2
Computed, not measured: a geometry-optimized Li6Ac3Cd5 structure at the PBE-GGA level of DFT.

a = 5.033 Å, b = 10.061 Å, c = 14.006 Å
α = 90.00°, β = 90.00°, γ = 90.00°
Element x y z (fractional)
Ac (0.000, 0.232, 0.000)
Ac (0.500, 0.744, 0.791)
Ac (0.500, 0.744, 0.209)
Ac (0.000, 0.256, 0.709)
Ac (0.500, 0.768, 0.500)
Ac (0.000, 0.256, 0.291)
Li (0.500, 0.040, 0.356)
Li (0.500, 0.040, 0.644)
Li (0.000, 0.606, 0.338)
Li (0.500, 0.394, 0.162)
Li (0.000, 0.606, 0.662)
Li (0.500, 0.566, 0.000)
Li (0.000, 0.960, 0.856)
Li (0.500, 0.394, 0.838)
Li (0.000, 0.960, 0.144)
Li (0.000, 0.075, 0.500)
Li (0.000, 0.434, 0.500)
Li (0.500, 0.925, 0.000)
Cd (0.500, 0.101, 0.155)
Cd (0.000, 0.765, 0.000)
Cd (0.000, 0.528, 0.126)
Cd (0.500, 0.472, 0.626)
Cd (0.500, 0.101, 0.845)
Cd (0.000, 0.899, 0.345)
Cd (0.500, 0.472, 0.374)
Cd (0.500, 0.235, 0.500)
Cd (0.000, 0.899, 0.655)
Cd (0.000, 0.528, 0.874)

Calculated values
DFT formation energy: -0.20 eV per atom
Fermi-level density of states: 19.836 states/eV per cell

No. 3
Computed, not measured: a geometry-optimized LiAc2Cd7 structure at the PBE-GGA level of DFT.

a = 4.644 Å, b = 4.644 Å, c = 12.581 Å
α = 90.00°, β = 90.00°, γ = 90.00°
Element x y z (fractional)
Cd (0.500, 0.000, 0.134)
Cd (0.000, 0.000, 0.500)
Cd (0.000, 0.000, 0.000)
Cd (0.000, 0.500, 0.866)
Cd (0.500, 0.500, 0.500)
Cd (0.000, 0.500, 0.640)
Cd (0.500, 0.000, 0.360)
Ac (0.000, 0.500, 0.254)
Ac (0.500, 0.000, 0.746)
Li (0.500, 0.500, 0.000)

Calculated values
DFT formation energy: -0.25 eV per atom
Fermi-level density of states: 8.421 states/eV per cell

No. 4
Computed, not measured: a geometry-optimized Li12AcCd6 structure at the PBE-GGA level of DFT.

a = 7.641 Å, b = 7.641 Å, c = 7.641 Å
α = 101.80°, β = 101.80°, γ = 101.80°
Element x y z (fractional)
Cd (0.747, 0.747, 0.278)
Cd (0.747, 0.278, 0.747)
Cd (0.722, 0.253, 0.253)
Cd (0.253, 0.722, 0.253)
Cd (0.253, 0.253, 0.722)
Cd (0.278, 0.747, 0.747)
Ac (0.000, 0.000, 0.000)
Li (0.849, 0.574, 0.574)
Li (0.574, 0.849, 0.574)
Li (0.892, 0.500, 0.108)
Li (0.574, 0.574, 0.849)
Li (0.151, 0.426, 0.426)
Li (0.108, 0.892, 0.500)
Li (0.500, 0.892, 0.108)
Li (0.892, 0.108, 0.500)
Li (0.426, 0.151, 0.426)
Li (0.500, 0.108, 0.892)
Li (0.426, 0.426, 0.151)
Li (0.108, 0.500, 0.892)

Calculated values
DFT formation energy: -0.10 eV per atom
Fermi-level density of states: 12.052 states/eV per cell

No. 5
Computed, not measured: a geometry-optimized Li2Ac3Cd3 structure at the PBE-GGA level of DFT.

a = 6.249 Å, b = 8.868 Å, c = 17.422 Å
α = 90.00°, β = 90.00°, γ = 90.00°
Element x y z (fractional)
Li (0.622, 0.617, 0.400)
Li (0.122, 0.883, 0.900)
Li (0.378, 0.383, 0.600)
Li (0.622, 0.617, 0.100)
Li (0.378, 0.383, 0.900)
Li (0.122, 0.883, 0.600)
Li (0.878, 0.117, 0.100)
Li (0.878, 0.117, 0.400)
Cd (0.903, 0.822, 0.750)
Cd (0.098, 0.177, 0.961)
Cd (0.403, 0.678, 0.250)
Cd (0.597, 0.322, 0.750)
Cd (0.098, 0.177, 0.539)
Cd (0.598, 0.323, 0.039)
Cd (0.598, 0.323, 0.461)
Cd (0.097, 0.178, 0.250)
Cd (0.902, 0.823, 0.039)
Cd (0.902, 0.823, 0.461)
Cd (0.402, 0.677, 0.961)
Cd (0.402, 0.677, 0.539)
Ac (0.622, 0.034, 0.606)
Ac (0.600, 0.323, 0.250)
Ac (0.622, 0.034, 0.894)
Ac (0.122, 0.466, 0.106)
Ac (0.378, 0.966, 0.394)
Ac (0.378, 0.966, 0.106)
Ac (0.900, 0.823, 0.250)
Ac (0.122, 0.466, 0.394)
Ac (0.400, 0.677, 0.750)
Ac (0.100, 0.177, 0.750)
Ac (0.878, 0.534, 0.606)
Ac (0.878, 0.534, 0.894)

Calculated values
DFT formation energy: -0.19 eV per atom
Fermi-level density of states: 27.444 states/eV per cell

No. 6
Computed, not measured: a geometry-optimized LiAcCd5 structure at the PBE-GGA level of DFT.

a = 5.358 Å, b = 5.358 Å, c = 7.373 Å
α = 90.00°, β = 90.00°, γ = 113.59°
Element x y z (fractional)
Cd (0.000, 0.000, 0.500)
Cd (0.500, 0.000, 0.712)
Cd (0.000, 0.500, 0.712)
Cd (0.000, 0.500, 0.288)
Cd (0.500, 0.000, 0.288)
Ac (0.000, 0.000, 0.000)
Li (0.500, 0.500, 0.500)

Calculated values
DFT formation energy: -0.11 eV per atom
Fermi-level density of states: 3.942 states/eV per cell

No. 7
Computed, not measured: a geometry-optimized Li3AcCd structure at the PBE-GGA level of DFT.

a = 5.837 Å, b = 11.221 Å, c = 7.454 Å
α = 138.82°, β = 113.05°, γ = 90.00°
Element x y z (fractional)
Li (0.197, 0.697, 0.894)
Li (0.303, 0.303, 0.106)
Li (0.250, 0.934, 0.500)
Li (0.803, 0.303, 0.106)
Li (0.750, 0.066, 0.500)
Li (0.697, 0.697, 0.894)
Ac (0.250, 0.242, 0.500)
Ac (0.750, 0.758, 0.500)
Cd (0.500, 0.000, 0.000)
Cd (0.000, 0.500, 0.000)

Calculated values
DFT formation energy: -0.04 eV per atom
Fermi-level density of states: 8.620 states/eV per cell

No. 8
Computed, not measured: a geometry-optimized LiAcCd4 structure at the PBE-GGA level of DFT.

a = 4.813 Å, b = 4.813 Å, c = 7.287 Å
α = 90.00°, β = 90.00°, γ = 90.00°
Element x y z (fractional)
Cd (0.500, 0.500, 0.817)
Cd (0.500, 0.500, 0.183)
Cd (0.000, 0.500, 0.500)
Cd (0.500, 0.000, 0.500)
Ac (0.000, 0.000, 0.000)
Li (0.500, 0.500, 0.500)

Calculated values
DFT formation energy: 0.11 eV per atom
Fermi-level density of states: 4.186 states/eV per cell

No. 9
Computed, not measured: a geometry-optimized LiAcLuCd structure at the PBE-GGA level of DFT.

a = 5.484 Å, b = 5.484 Å, c = 5.484 Å
α = 60.00°, β = 60.00°, γ = 60.00°
Element x y z (fractional)
Li (0.250, 0.250, 0.250)
Ac (0.000, 0.000, 0.000)
Lu (0.500, 0.500, 0.500)
Cd (0.750, 0.750, 0.750)

Calculated values
DFT formation energy: -0.06 eV per atom
Fermi-level density of states: 4.775 states/eV per cell

No. 10
Computed, not measured: a geometry-optimized LiAcMg2Cd4 structure at the PBE-GGA level of DFT.

a = 4.876 Å, b = 4.876 Å, c = 9.917 Å
α = 75.77°, β = 75.77°, γ = 60.00°
Element x y z (fractional)
Cd (0.600, 0.600, 0.200)
Cd (0.400, 0.400, 0.800)
Cd (0.867, 0.867, 0.400)
Cd (0.133, 0.133, 0.600)
Mg (0.759, 0.759, 0.722)
Mg (0.241, 0.241, 0.278)
Ac (0.000, 0.000, 0.000)
Li (0.500, 0.500, 0.500)

Calculated values
DFT formation energy: -0.22 eV per atom
Fermi-level density of states: 4.640 states/eV per cell

No. 11
Computed, not measured: a geometry-optimized LiAcMgCd2 structure at the PBE-GGA level of DFT.

a = 4.502 Å, b = 4.502 Å, c = 7.402 Å
α = 107.71°, β = 107.71°, γ = 90.00°
Element x y z (fractional)
Cd (0.613, 0.613, 0.225)
Cd (0.387, 0.387, 0.775)
Li (0.250, 0.750, 0.500)
Ac (0.000, 0.000, 0.000)
Mg (0.750, 0.250, 0.500)

Calculated values
DFT formation energy: -0.21 eV per atom
Fermi-level density of states: 3.566 states/eV per cell

No. 12
Computed, not measured: a geometry-optimized LiAc2Mg12Cd3 structure at the PBE-GGA level of DFT.

a = 13.469 Å, b = 13.469 Å, c = 13.469 Å
α = 28.96°, β = 28.96°, γ = 28.96°
Element x y z (fractional)
Mg (0.110, 0.110, 0.615)
Mg (0.598, 0.598, 0.141)
Mg (0.615, 0.110, 0.110)
Mg (0.890, 0.890, 0.385)
Mg (0.141, 0.598, 0.598)
Mg (0.402, 0.402, 0.859)
Mg (0.890, 0.385, 0.890)
Mg (0.402, 0.859, 0.402)
Mg (0.110, 0.615, 0.110)
Mg (0.598, 0.141, 0.598)
Mg (0.385, 0.890, 0.890)
Mg (0.859, 0.402, 0.402)
Cd (0.500, 0.000, 0.000)
Cd (0.000, 0.500, 0.000)
Cd (0.000, 0.000, 0.500)
Ac (0.360, 0.360, 0.360)
Ac (0.640, 0.640, 0.640)
Li (0.000, 0.000, 0.000)

Calculated values
DFT formation energy: 0.09 eV per atom
Fermi-level density of states: 14.865 states/eV per cell